(1)
# RbAcBN2

An optimized crystal structure of RbAcBN2 (PBE, Alexandria).

Cell: 7.5824 5.7173 7.9962 Å, 90.00 121.57 90.00°
With the nearest neighbours (Å) after each atom.
Element x y z (fractional)
Rb (0.0000, 0.0795, 0.2500)  2 N 3.02, 2 B 3.26
Rb (0.0000, 0.9205, 0.7500)  2 N 3.02, 2 B 3.26
Ac (0.5000, 0.5002, 0.2500)  4 N 2.55
Ac (0.5000, 0.4998, 0.7500)  4 N 2.55
B (0.5000, 0.0000, 0.0000)  2 N 1.35
B (0.5000, 0.0000, 0.5000)  2 N 1.35
N (0.4487, 0.2284, 0.4745)  1 B 1.35
N (0.4487, 0.7716, 0.9745)  1 B 1.35
N (0.5513, 0.2284, 0.0255)  1 B 1.35
N (0.5513, 0.7716, 0.5255)  1 B 1.35

- space-group type = P2/c (13)
- raw formation energy (eV/atom) = -0.82


(2)
# Ac3B2Rh2N3

An optimized crystal structure of Ac3B2Rh2N3 (PBE, Alexandria).

Cell: 10.7893 10.7893 10.7893 Å, 158.80 158.80 30.16°
With the nearest neighbours (Å) after each atom.
Element x y z (fractional)
Ac (0.0000, 0.0000, 0.0000)  6 N 2.65-2.81
Ac (0.3696, 0.3696, 0.0000)  5 N 2.72-2.81
Ac (0.6304, 0.6304, 0.0000)  5 N 2.72-2.81
B (0.1978, 0.1978, 0.0000)  1 N 1.47
B (0.8022, 0.8022, 0.0000)  1 N 1.47
Rh (0.2500, 0.7500, 0.5000)  4 B 2.26
Rh (0.7500, 0.2500, 0.5000)  4 B 2.26
N (0.1274, 0.1274, 0.0000)  1 B 1.47
N (0.5000, 0.5000, 0.0000)  6 Ac 2.72-2.81
N (0.8726, 0.8726, 0.0000)  1 B 1.47

- space-group type = I4/mmm (139)
- raw formation energy (eV/atom) = -1.04


(3)
# AcBRhN

An optimized crystal structure of AcBRhN (PBE, Alexandria).

Cell: 3.9838 3.9838 7.6832 Å, 90.00 90.00 90.00°
With the nearest neighbours (Å) after each atom.
Element x y z (fractional)
Ac (0.2500, 0.2500, 0.1793)  5 N 2.66-2.82
Ac (0.7500, 0.7500, 0.8207)  5 N 2.66-2.82
B (0.2500, 0.2500, 0.6413)  1 N 1.47
B (0.7500, 0.7500, 0.3587)  1 N 1.47
Rh (0.2500, 0.7500, 0.5000)  4 B 2.27
Rh (0.7500, 0.2500, 0.5000)  4 B 2.27
N (0.2500, 0.2500, 0.8327)  1 B 1.47
N (0.7500, 0.7500, 0.1673)  1 B 1.47

- space-group type = P4/nmm (129)
- raw formation energy (eV/atom) = -1.02


(4)
# AcBRuN

An optimized crystal structure of AcBRuN (PBE, Alexandria).

Cell: 3.8873 3.8873 8.0117 Å, 90.00 90.00 90.00°
With the nearest neighbours (Å) after each atom.
Element x y z (fractional)
Ac (0.2500, 0.2500, 0.1761)  5 N 2.70-2.75
Ac (0.7500, 0.7500, 0.8239)  5 N 2.70-2.75
B (0.2500, 0.2500, 0.6544)  1 N 1.48
B (0.7500, 0.7500, 0.3456)  1 N 1.48
Ru (0.2500, 0.7500, 0.5000)  4 B 2.30
Ru (0.7500, 0.2500, 0.5000)  4 B 2.30
N (0.2500, 0.2500, 0.8389)  1 B 1.48
N (0.7500, 0.7500, 0.1611)  1 B 1.48

- space-group type = P4/nmm (129)
- raw formation energy (eV/atom) = -0.81


(5)
# Ac3B2SbN6

An optimized crystal structure of Ac3B2SbN6 (PBE, Alexandria).

Cell: 5.6727 5.6727 6.8957 Å, 90.00 90.00 120.00°
With the nearest neighbours (Å) after each atom.
Element x y z (fractional)
Ac (0.0000, 0.0000, 0.0000)  6 N 2.60
Ac (0.3333, 0.6667, 0.6754)  1 B 2.83, 9 N 2.86-3.14
Ac (0.6667, 0.3333, 0.3246)  1 B 2.83, 9 N 2.86-3.14
B (0.3333, 0.6667, 0.2643)  3 N 1.48
B (0.6667, 0.3333, 0.7357)  3 N 1.48
Sb (0.0000, 0.0000, 0.5000)  6 N 2.38
N (0.1831, 0.3662, 0.2732)  1 B 1.48
N (0.1831, 0.8169, 0.2732)  1 B 1.48
N (0.3662, 0.1831, 0.7268)  1 B 1.48
N (0.6338, 0.8169, 0.2732)  1 B 1.48
N (0.8169, 0.1831, 0.7268)  1 B 1.48
N (0.8169, 0.6338, 0.7268)  1 B 1.48

- space-group type = P-3m1 (164)
- raw formation energy (eV/atom) = -0.74


(6)
# Ac3ScB2N6

An optimized crystal structure of Ac3ScB2N6 (PBE, Alexandria).

Cell: 5.6405 5.6405 6.5673 Å, 90.00 90.00 120.00°
With the nearest neighbours (Å) after each atom.
Element x y z (fractional)
Ac (0.0000, 0.0000, 0.0000)  6 N 2.61
Ac (0.3333, 0.6667, 0.6751)  1 B 2.67, 9 N 2.83-2.93
Ac (0.6667, 0.3333, 0.3249)  1 B 2.67, 9 N 2.83-2.93
Sc (0.0000, 0.0000, 0.5000)  6 N 2.25
B (0.3333, 0.6667, 0.2682)  3 N 1.48
B (0.6667, 0.3333, 0.7318)  3 N 1.48
N (0.1825, 0.3651, 0.2902)  1 B 1.48
N (0.1825, 0.8175, 0.2902)  1 B 1.48
N (0.3651, 0.1825, 0.7098)  1 B 1.48
N (0.6349, 0.8175, 0.2902)  1 B 1.48
N (0.8175, 0.1825, 0.7098)  1 B 1.48
N (0.8175, 0.6349, 0.7098)  1 B 1.48

- space-group type = P-3m1 (164)
- raw formation energy (eV/atom) = -1.24